Density functional theory data (PBE-GGA) for a geometry-optimized SrAlGaCu2 structure.

Density of states at the Fermi level   4.12 states/eV per cell
Crystal system   orthorhombic
Formation energy   -0.2393 eV/atom
ρ   5.30 Mg/m³
ΔE to the lowest computed polymorph   0 meV/atom

Unit cell a=4.2696 b=4.3210 c=10.5845 alpha=90.00 beta=90.00 gamma=90.00
Last column: nearest neighbours and their distance in Å.
Space group Imm2 (No. 44)
Asymmetric unit:
Sr: 0.0000 0.0000 0.0000 [2 per cell]  4 Ga 3.29, 8 Cu 3.30-3.43, 4 Al 3.36-3.46
Al: 0.0000 0.5000 0.7572 [2 per cell]  2 Cu 2.49, 2 Ga 2.61
Ga: 0.0000 0.0000 0.6188 [2 per cell]  3 Cu 2.53-2.54, 2 Al 2.61
Cu: 0.0000 0.0000 0.3786 [2 per cell]  2 Al 2.49, 1 Ga 2.54, 2 Cu 2.57
Cu: 0.0000 0.5000 0.2469 [2 per cell]  2 Ga 2.53, 2 Cu 2.57

=====

Density functional theory data (PBE-GGA) for a geometry-optimized SrAl2Ga4Cu structure.

Density of states at the Fermi level   7.42 states/eV per cell
Crystal system   trigonal
Formation energy   -0.1488 eV/atom
ρ   5.02 Mg/m³

Unit cell a=4.5428 b=4.5428 c=26.8514 alpha=90.00 beta=90.00 gamma=120.00
Last column: nearest neighbours and their distance in Å.
Space group R-3m (No. 166, hexagonal axes)
Asymmetric unit:
Sr: 0.0000 0.0000 0.0000 [3 per cell]  8 Ga 3.27-3.63, 6 Al 3.65
Al: 0.0000 0.0000 0.2387 [6 per cell]  7 Ga 2.69-2.84
Ga: 0.0000 0.0000 0.1350 [6 per cell]  3 Cu 2.76, 4 Al 2.79-2.84
Ga: 0.0000 0.0000 0.4058 [6 per cell]  1 Cu 2.53, 3 Al 2.69
Cu: 0.0000 0.0000 0.5000 [3 per cell]  8 Ga 2.53-2.76

=====

Q: Among the records above, which one has the lowest ρ?
A: SrAl2Ga4Cu

=====

Q: What is the formation energy in the second record?
A: -0.1488 eV/atom

=====

Q: Look up the density of states at the Fermi level of the first one.
A: 4.12 states/eV per cell